1.
A plane-wave DFT calculation with PBE was carried out for crystalline Ac2TmAsO6 at its relaxed geometry.

Output
formation energy from raw total energies	-2789.3	meV per atom
magnetization	0.00	μB per cell
mass density	8.6	Mg/m³
calculated volume	15.26	Å³/atom
raw total energy	-0.2755	Ha/atom

Lattice parameters (Å, degrees): 6.0265 5.9871 6.0246 60.06 59.15 89.47
Atoms (fractional coordinates):
O: 0.2519 0.3599 0.8910
O: 0.6834 0.1877 0.0004
O: 0.8128 0.8117 0.5043
O: 0.7481 0.6401 0.1090
O: 0.1872 0.1883 0.4957
O: 0.3166 0.8123 0.9996
As: 0.5000 0.5000 0.0000
Tm: 0.0000 0.0000 0.0000
Ac: 0.7506 0.2318 0.5193
Ac: 0.2494 0.7682 0.4807

2.
A plane-wave DFT calculation with PBE was carried out for crystalline CrNiSe2 at its relaxed geometry.

Output
formation energy from raw total energies	-210.9	meV per atom
magnetization	2.65	μB per cell
mass density	5.5	Mg/m³
calculated volume	20.12	Å³/atom
offset from the most stable computed form	144	meV/atom
raw total energy	-0.2133	Ha/atom

Lattice parameters (Å, degrees): 7.0307 7.0307 7.0307 30.73 30.73 30.73
Atoms (fractional coordinates):
Ni: 0.7435 0.7435 0.7435
Se: 0.0476 0.0476 0.0476
Se: 0.2194 0.2194 0.2194
Cr: 0.4896 0.4896 0.4896